Entry 1:
Here is crystalline Sr3LiPr3Se8 at its relaxed geometry from Alexandria via LeMat-Bulk. Energies are from PBE-GGA.

Calculated values
Raw formation energy   -1.82 eV/atom
Magnetic moment   0.00 μB per formula unit

a = 8.598 Å, b = 8.597 Å, c = 8.711 Å
α = 119.57°, β = 90.00°, γ = 120.00°
Positions (direct):
Pr  0.500  0.000  0.500
Se  0.241  0.988  0.729
Se  0.759  0.012  0.271
Sr  0.000  0.500  0.000
Se  0.253  0.506  0.260
Li  0.000  0.000  0.500
Se  0.253  0.012  0.271
Pr  0.500  0.500  0.500
Se  0.747  0.494  0.740
Se  0.747  0.988  0.729
Sr  0.500  0.500  0.000
Se  0.759  0.518  0.271
Se  0.241  0.482  0.729
Sr  0.000  0.000  0.000
Pr  0.000  0.500  0.500

Entry 2:
Here is crystalline ErTl3Bi3Se8 at its relaxed geometry from Alexandria via LeMat-Bulk. Energies are from PBE-GGA.

Calculated values
Raw formation energy   -0.64 eV/atom
Magnetic moment   0.00 μB per formula unit

a = 8.486 Å, b = 8.480 Å, c = 8.941 Å
α = 118.20°, β = 90.00°, γ = 120.02°
Positions (direct):
Se  0.766  0.018  0.284
Bi  0.500  0.500  0.500
Bi  0.500  0.000  0.500
Se  0.741  0.483  0.725
Tl  0.000  0.000  0.000
Se  0.766  0.532  0.284
Se  0.234  0.982  0.716
Bi  0.000  0.500  0.500
Tl  0.000  0.500  0.000
Se  0.252  0.018  0.284
Er  0.000  0.000  0.500
Se  0.748  0.982  0.716
Tl  0.500  0.500  0.000
Se  0.259  0.517  0.275
Se  0.234  0.468  0.716

Entry 3:
Here is crystalline AlCOF2 at its relaxed geometry from Alexandria via LeMat-Bulk. Energies are from PBE-GGA.

Calculated values
Raw formation energy   -0.07 eV/atom
Magnetic moment   0.00 μB per formula unit
Offset from the most stable computed form   18.16 kcal/mol of atoms

a = 4.554 Å, b = 4.554 Å, c = 2.748 Å
α = 90.00°, β = 90.00°, γ = 90.00°
Positions (direct):
F  0.000  0.500  0.000
Al  0.500  0.500  0.500
O  0.000  0.000  0.500
C  0.000  0.000  0.000
F  0.500  0.000  0.000

Entry 4:
Here is crystalline Y2VRu at its relaxed geometry from Alexandria via LeMat-Bulk. Energies are from PBE-GGA.

Calculated values
E_form   -110 meV per atom
Magnetic moment   0.00 μB per formula unit
Offset from the most stable computed form   0.00 kcal/mol of atoms

a = 5.685 Å, b = 5.858 Å, c = 5.918 Å
α = 70.57°, β = 87.84°, γ = 77.25°
Positions (direct):
Ru  0.382  0.944  0.789
Y  0.743  0.543  0.144
Y  0.849  0.131  0.707
Y  0.257  0.457  0.856
Y  0.151  0.869  0.293
Ru  0.618  0.056  0.211
V  0.647  0.732  0.569
V  0.353  0.268  0.431

Entry 5:
Here is crystalline Sb4Te5Cl at its relaxed geometry from Alexandria via LeMat-Bulk. Energies are from PBE-GGA.

Calculated values
Raw formation energy   -0.06 eV/atom
Magnetic moment   0.00 μB per formula unit

a = 7.741 Å, b = 9.051 Å, c = 9.799 Å
α = 90.00°, β = 90.00°, γ = 90.00°
Positions (direct):
Te  0.736  0.215  0.299
Te  0.736  0.215  0.701
Sb  0.905  0.500  0.236
Sb  0.905  0.500  0.764
Sb  0.469  0.685  0.500
Sb  0.531  0.185  0.000
Sb  0.095  0.000  0.736
Te  0.736  0.785  0.701
Te  0.264  0.285  0.201
Te  0.656  0.500  0.000
Te  0.264  0.715  0.799
Te  0.344  0.000  0.500
Cl  0.945  0.000  0.000
Te  0.264  0.285  0.799
Cl  0.055  0.500  0.500
Sb  0.531  0.815  0.000
Sb  0.095  0.000  0.264
Te  0.264  0.715  0.201
Sb  0.469  0.315  0.500
Te  0.736  0.785  0.299

Entry 6:
Here is crystalline Tl2CoAu2 at its relaxed geometry from Alexandria via LeMat-Bulk. Energies are from PBE-GGA.

Calculated values
E_form   528 meV per atom
Magnetic moment   1.43 μB per formula unit
Offset from the most stable computed form   3.62 kcal/mol of atoms

a = 7.290 Å, b = 7.290 Å, c = 4.133 Å
α = 90.00°, β = 90.00°, γ = 90.00°
Each line ends with the local moment (μB).
Positions (direct):
Tl  0.669  0.169  0.000  -0.03
Au  0.638  0.862  0.500  -0.01
Tl  0.169  0.331  0.000  -0.03
Co  0.000  0.000  0.000  1.55
Co  0.500  0.500  0.000  1.55
Tl  0.331  0.831  0.000  -0.03
Au  0.362  0.138  0.500  -0.01
Au  0.862  0.362  0.500  0.00
Tl  0.831  0.669  0.000  -0.03
Au  0.138  0.638  0.500  0.00

Entry 7:
Here is crystalline TiAs2IrSe at its relaxed geometry from Alexandria via LeMat-Bulk. Energies are from PBE-GGA.

Calculated values
Raw formation energy   0.62 eV/atom
Magnetic moment   0.04 μB per formula unit
Offset from the most stable computed form   0.00 kcal/mol of atoms

a = 4.706 Å, b = 4.706 Å, c = 5.156 Å
α = 90.00°, β = 90.00°, γ = 90.00°
Each line ends with the local moment (μB).
Positions (direct):
As  0.000  0.500  0.000  0.01
As  0.500  0.000  0.000  0.01
Ti  0.500  0.500  0.500  -0.14
Se  0.000  0.000  0.500  0.01
Ir  0.000  0.000  0.000  0.06

Entry 8:
Here is crystalline Ac4TlRh2 at its relaxed geometry from Alexandria via LeMat-Bulk. Energies are from PBE-GGA.

Calculated values
E_form   -541 meV per atom
Magnetic moment   0.00 μB per formula unit

a = 4.306 Å, b = 7.746 Å, c = 14.903 Å
α = 90.00°, β = 90.00°, γ = 106.14°
Positions (direct):
Ac  0.233  0.467  0.611
Rh  0.132  0.265  0.438
Rh  0.132  0.265  0.062
Ac  0.500  0.000  0.500
Tl  0.393  0.785  0.250
Ac  0.767  0.533  0.389
Tl  0.607  0.215  0.750
Ac  0.928  0.856  0.750
Rh  0.868  0.735  0.938
Rh  0.868  0.735  0.562
Ac  0.767  0.533  0.111
Ac  0.500  0.000  0.000
Ac  0.233  0.467  0.889
Ac  0.072  0.144  0.250

Entry 9:
Here is crystalline LaVH2 at its relaxed geometry from Alexandria via LeMat-Bulk. Energies are from PBE-GGA.

Calculated values
Magnetic moment   0.00 μB per formula unit
Offset from the most stable computed form   0.00 kcal/mol of atoms

a = 5.328 Å, b = 5.328 Å, c = 5.200 Å
α = 59.18°, β = 59.18°, γ = 90.00°
Positions (direct):
V  0.250  0.750  0.500
La  0.000  0.000  0.000
H  0.533  0.125  0.250
La  0.750  0.250  0.500
V  0.500  0.500  0.000
H  0.217  0.625  0.250
H  0.875  0.783  0.750
H  0.375  0.467  0.750

Entry 10:
Here is crystalline Pm6Y2Tm3In at its relaxed geometry from Alexandria via LeMat-Bulk. Energies are from PBE-GGA.

Calculated values
E_form   -38 meV per atom
Magnetic moment   0.00 μB per formula unit

a = 6.160 Å, b = 6.160 Å, c = 11.760 Å
α = 95.03°, β = 95.03°, γ = 120.08°
Positions (direct):
Y  0.334  0.666  0.000
Pm  0.757  0.757  0.252
Tm  0.168  0.832  0.500
Tm  0.500  0.500  0.500
Pm  0.589  0.917  0.749
Pm  0.411  0.083  0.251
Y  0.666  0.334  0.000
Pm  0.243  0.243  0.748
Pm  0.917  0.589  0.749
Pm  0.083  0.411  0.251
Tm  0.832  0.168  0.500
In  0.000  0.000  0.000

Entry 11:
Here is crystalline NdZnNiPd at its relaxed geometry from Alexandria via LeMat-Bulk. Energies are from PBE-GGA.

Calculated values
E_form   -514 meV per atom
Magnetic moment   0.00 μB per formula unit
Offset from the most stable computed form   0.00 kcal/mol of atoms

a = 4.304 Å, b = 4.297 Å, c = 5.382 Å
α = 113.62°, β = 90.00°, γ = 120.05°
Positions (direct):
Pd  0.407  0.814  0.862
Zn  0.126  0.251  0.019
Ni  0.819  0.638  0.100
Nd  0.615  0.230  0.486

Entry 12:
Here is crystalline Pr12Ni3H5 at its relaxed geometry from Alexandria via LeMat-Bulk. Energies are from PBE-GGA.

Calculated values
Magnetic moment   0.00 μB per formula unit
Total DFT energy (no corrections)   -0.351 Ry per atom

a = 13.533 Å, b = 13.533 Å, c = 13.533 Å
α = 109.47°, β = 109.47°, γ = 109.47°
Positions (direct):
H  0.125  0.750  0.375
Pr  0.689  0.471  0.590
Pr  0.882  0.282  0.471
Pr  0.311  0.782  0.401
Ni  0.375  0.750  0.625
Pr  0.029  0.618  0.718
Pr  0.971  0.590  0.189
Pr  0.718  0.118  0.029
Pr  0.029  0.410  0.811
Pr  0.689  0.218  0.599
Pr  0.529  0.218  0.118
Pr  0.282  0.882  0.971
Pr  0.090  0.189  0.471
Pr  0.901  0.811  0.782
Pr  0.410  0.029  0.311
Ni  0.250  0.625  0.875
Pr  0.401  0.282  0.311
Pr  0.782  0.471  0.382
Pr  0.599  0.718  0.689
Pr  0.910  0.099  0.882
H  0.875  0.250  0.625
Pr  0.471  0.782  0.882
Ni  0.875  0.125  0.250
Ni  0.875  0.750  0.125
Pr  0.311  0.529  0.410
H  0.375  0.250  0.125
Pr  0.590  0.618  0.401
Pr  0.618  0.029  0.218
Pr  0.471  0.689  0.090
H  0.125  0.375  0.250
Ni  0.750  0.875  0.625
Pr  0.189  0.099  0.718
Pr  0.218  0.529  0.618
H  0.000  0.500  0.500
Pr  0.599  0.882  0.410
Pr  0.118  0.401  0.090
Ni  0.125  0.250  0.875
Pr  0.282  0.401  0.811
H  0.750  0.125  0.875
Pr  0.401  0.118  0.590
Ni  0.625  0.250  0.375
Pr  0.901  0.090  0.618
Pr  0.971  0.382  0.282
Pr  0.529  0.311  0.910
H  0.750  0.625  0.375
Pr  0.410  0.382  0.599
Pr  0.882  0.599  0.910
H  0.000  0.500  0.000
H  0.500  0.500  0.000
H  0.625  0.750  0.875
Pr  0.782  0.311  0.901
Ni  0.250  0.125  0.375
Pr  0.811  0.901  0.282
H  0.500  0.000  0.500
Pr  0.382  0.971  0.782
H  0.500  0.000  0.000
Pr  0.099  0.910  0.382
Pr  0.090  0.901  0.118
H  0.000  0.000  0.500
Pr  0.910  0.811  0.529
Ni  0.625  0.375  0.750
Ni  0.125  0.875  0.750
Ni  0.750  0.375  0.125
Pr  0.189  0.090  0.971
H  0.875  0.625  0.750
Pr  0.218  0.689  0.099
H  0.000  0.000  0.000
Ni  0.375  0.625  0.250
H  0.250  0.375  0.625
Pr  0.382  0.410  0.099
Pr  0.590  0.971  0.689
H  0.250  0.875  0.125
H  0.625  0.875  0.250
Pr  0.811  0.910  0.029
Pr  0.099  0.189  0.218
Pr  0.618  0.590  0.901
Pr  0.718  0.599  0.189
Pr  0.118  0.718  0.529
H  0.500  0.500  0.500
H  0.375  0.125  0.750